A plane-wave DFT calculation with PBE-GGA was carried out for a relaxed structure of ZrIn2Cl.

Results
**Crystal system**: trigonal

Structure (CIF):
```
data_ZrIn2Cl
_chemical_formula_sum 'Zr3 In6 Cl3'
_cell_length_a 3.4171
_cell_length_b 3.4171
_cell_length_c 27.9234
_cell_angle_alpha 90.00
_cell_angle_beta 90.00
_cell_angle_gamma 120.00
_space_group_name_H-M_alt 'R -3 m'
_space_group_IT_number 166
_space_group_name_Hall '-R 3 2"'
loop_
_atom_site_label
_atom_site_fract_x
_atom_site_fract_y
_atom_site_fract_z
Zr1 0.0000 0.0000 0.0000
In1 0.0000 0.0000 0.2489
Cl1 0.0000 0.0000 0.5000
```

A plane-wave DFT calculation with PBE-GGA was carried out for a relaxed structure of ZrIn2Cl5.

Results
**Crystal system**: monoclinic

Structure (CIF):
```
data_ZrIn2Cl5
_chemical_formula_sum 'Zr2 In4 Cl10'
_cell_length_a 9.692
_cell_length_b 9.242
_cell_length_c 7.462
_cell_angle_alpha 90.00
_cell_angle_beta 122.91
_cell_angle_gamma 90.00
_space_group_name_H-M_alt 'C 1 m 1'
_space_group_IT_number 8
loop_
_space_group_symop_operation_xyz
'x,y,z'
'x,-y,z'
'x+1/2,y+1/2,z'
'x+1/2,-y+1/2,z'
loop_
_atom_site_label
_atom_site_fract_x
_atom_site_fract_y
_atom_site_fract_z
Zr1 0.000 0.000 0.000
In1 0.185 0.500 0.063
In2 0.269 0.000 0.689
Cl1 0.084 0.185 0.282
Cl2 0.095 0.185 0.841
Cl3 0.224 0.500 0.681
```

A plane-wave DFT calculation with PBE-GGA was carried out for a relaxed structure of ZrInCl.

Results
**Crystal system**: orthorhombic

Structure (CIF):
```
data_ZrInCl
_chemical_formula_sum 'Zr4 In4 Cl4'
_cell_length_a 3.289
_cell_length_b 5.744
_cell_length_c 17.089
_cell_angle_alpha 90.00
_cell_angle_beta 90.00
_cell_angle_gamma 90.00
_space_group_name_H-M_alt 'F m m 2'
_space_group_IT_number 42
_space_group_name_Hall 'F 2 -2'
loop_
_atom_site_label
_atom_site_fract_x
_atom_site_fract_y
_atom_site_fract_z
Zr1 0.000 0.000 0.000
In1 0.000 0.000 0.649
Cl1 0.000 0.000 0.384
```

A plane-wave DFT calculation with PBE-GGA was carried out for a relaxed structure of Zr3InCl.

Results
**Crystal system**: cubic

Structure (CIF):
```
data_Zr3InCl
_chemical_formula_sum 'Zr3 In1 Cl1'
_cell_length_a 4.819
_cell_length_b 4.819
_cell_length_c 4.819
_cell_angle_alpha 90.00
_cell_angle_beta 90.00
_cell_angle_gamma 90.00
_space_group_name_H-M_alt 'P m -3 m'
_space_group_IT_number 221
_space_group_name_Hall '-P 4 2 3'
loop_
_atom_site_label
_atom_site_fract_x
_atom_site_fract_y
_atom_site_fract_z
Zr1 0.000 0.000 0.500
In1 0.500 0.500 0.500
Cl1 0.000 0.000 0.000
```

no.,total DFT energy (no corrections) (eV per atom)
1,-4.260
2,-4.100
3,-4.936
4,-6.166